Below is an optimized crystal structure of SrCa2Tl2, with properties calculated at the PBE level.

Output
Space group   P4/mbm (127)
Formation enthalpy at 0 K   -0.324 eV/atom
Calculated density   5.9 g/cm3
VASP energy   -2.407 eV/atom
Relative energy among the computed polymorphs   0.028 eV/atom

```
10
Lattice="-5.4036 -1.8660 -7.4482 -0.9471 -8.8761 2.9109 -3.0092 0.9583 1.9430" Properties=species:S:1:pos:R:3 pbc="T T T"
Sr 0.0000 0.0000 0.0000
Sr -3.1754 -5.3711 -2.2686
Tl -3.0459 -5.7649 1.6642
Tl -5.9028 -8.1514 -1.5833
Tl -6.3140 -4.0189 -4.2584
Tl -3.4572 -1.6324 -1.0110
Ca -2.8237 -8.4133 -0.2236
Ca -5.2981 -7.2150 -4.6467
Ca -3.5270 -2.3288 -4.3137
Ca -1.0526 -3.5272 0.1094
```

=====

Below is an optimized crystal structure of BeTl2Ag, with properties calculated at the PBE level.

Output
Space group   C2/m (12)
Formation enthalpy at 0 K   0.489 eV/atom
Calculated density   10.0 g/cm3
VASP energy   -2.338 eV/atom

```
4
Lattice="4.5944 -0.0730 0.0020 3.3767 3.1163 0.0020 1.5422 0.5888 6.0047" Properties=species:S:1:pos:R:3 pbc="T T T"
Be 7.1351 2.7241 4.5065
Tl 1.6137 0.6161 5.8488
Tl 4.6852 1.7888 3.1603
Ag 2.3784 0.9080 1.5022
```

=====

Below is an optimized crystal structure of KZrCoS3, with properties calculated at the PBE level.

Output
E_form (uncorrected)   -7.37 eV per formula unit
Space group   P2_1/m (11)
Calculated density   3.5 g/cm3
VASP energy   -6.084 eV/atom

```
12
Lattice="-2.6568 -2.0693 1.4699 5.8810 -4.1416 4.7992 -3.3916 7.3610 4.2329" Properties=species:S:1:pos:R:3 pbc="T T T"
K -0.2224 0.3670 2.4111
K 0.0550 0.7831 8.0908
Zr 2.8114 -2.1481 4.3538
Zr -2.9788 3.2982 6.1481
Co -2.1807 3.5175 3.3067
Co 2.0134 -2.3674 7.1952
S 2.7127 -4.1587 5.9374
S -2.8801 5.3088 4.5645
S 2.4734 -0.3897 6.2183
S -2.6407 1.5397 4.2836
S 0.2262 -2.3648 3.9685
S -0.3935 3.5149 6.5334
```

=====

Below is an optimized crystal structure of CaSm2Pd9, with properties calculated at the PBE level.

Output
Space group   P4/mmm (123)
Formation enthalpy at 0 K   -0.703 eV/atom
Calculated density   10.0 g/cm3
VASP energy   -5.551 eV/atom

```
12
Lattice="-0.6771 -0.4965 -4.0842 -3.5991 -1.9339 0.8317 -5.9359 10.9006 -0.3412" Properties=species:S:1:pos:R:3 pbc="T T T"
Ca 0.0000 0.0000 0.0000
Sm -1.9672 3.6125 -0.1131
Sm -3.9687 7.2881 -0.2281
Pd -2.1381 -1.2152 -1.6262
Pd -4.1156 2.4162 -1.7399
Pd -6.0965 6.0541 -1.8537
Pd -1.3262 1.5655 -2.0989
Pd -3.3065 5.2021 -2.2127
Pd -5.2868 8.8387 -2.3265
Pd -2.7872 0.8468 0.3591
Pd -4.7675 4.4834 0.2453
Pd -6.7478 8.1200 0.1315
```